{
  "formula": "Ca2InNi",
  "functional": "PBE",
  "state": "relaxed",
  "lattice": [[3.5717, -3.5873, 0.0000], [3.5717, 3.5873, 0.0000], [0.0000, 0.0000, 3.8485]],
  "species": ["Ca", "Ca", "In", "Ni"],
  "frac_coords": [[0.0000, 0.5000, 0.0000], [0.5000, 0.0000, 0.0000], [0.0000, 0.0000, 0.5000], [0.5000, 0.5000, 0.5000]],
  "formation_energy_ev_per_atom": -0.117
}

---

{
  "formula": "CaIn4Ni4",
  "functional": "PBE",
  "state": "relaxed",
  "lattice": [[5.9874, 0.0000, 0.0000], [0.0000, 5.9874, 0.0000], [0.0000, 0.0000, 9.3345]],
  "species": ["Ca", "Ca", "In", "In", "In", "In", "In", "In", "In", "In", "Ni", "Ni", "Ni", "Ni", "Ni", "Ni", "Ni", "Ni"],
  "frac_coords": [[0.2500, 0.7500, 0.2500], [0.7500, 0.2500, 0.7500], [0.0149, 0.2500, 0.0529], [0.2500, 0.0149, 0.5529], [0.2500, 0.4851, 0.5529], [0.4851, 0.2500, 0.0529], [0.5149, 0.7500, 0.9471], [0.7500, 0.5149, 0.4471], [0.7500, 0.9851, 0.4471], [0.9851, 0.7500, 0.9471], [0.0471, 0.2500, 0.3310], [0.2500, 0.0471, 0.8310], [0.2500, 0.4529, 0.8310], [0.4529, 0.2500, 0.3310], [0.5471, 0.7500, 0.6690], [0.7500, 0.5471, 0.1690], [0.7500, 0.9529, 0.1690], [0.9529, 0.7500, 0.6690]],
  "formation_energy_ev_per_atom": -0.111
}

---

{
  "formula": "Ca2InNi2",
  "functional": "PBE",
  "state": "relaxed",
  "lattice": [[-2.7525, 2.7525, 3.7653], [2.7525, -2.7525, 3.7653], [2.7525, 2.7525, -3.7653]],
  "species": ["Ca", "Ca", "In", "Ni", "Ni"],
  "frac_coords": [[0.2500, 0.7500, 0.5000], [0.7500, 0.2500, 0.5000], [0.0000, 0.0000, 0.0000], [0.3448, 0.3448, 0.0000], [0.6552, 0.6552, 0.0000]],
  "formation_energy_ev_per_atom": -0.060
}

---

{
  "formula": "Ca3In2Ni7",
  "functional": "PBE",
  "state": "relaxed",
  "lattice": [[2.6720, 1.5427, 8.1730], [-2.6720, 1.5427, 8.1730], [0.0000, -3.0853, 8.1730]],
  "species": ["Ca", "Ca", "Ca", "In", "In", "Ni", "Ni", "Ni", "Ni", "Ni", "Ni", "Ni"],
  "frac_coords": [[0.0000, 0.0000, 0.0000], [0.1404, 0.1404, 0.1404], [0.8596, 0.8596, 0.8596], [0.3313, 0.3313, 0.3313], [0.6687, 0.6687, 0.6687], [0.0967, 0.5820, 0.5820], [0.4180, 0.4180, 0.9033], [0.4180, 0.9033, 0.4180], [0.5000, 0.5000, 0.5000], [0.5820, 0.0967, 0.5820], [0.5820, 0.5820, 0.0967], [0.9033, 0.4180, 0.4180]],
  "formation_energy_ev_per_atom": -0.171
}

---

{
  "formula": "Ca2InNi2",
  "functional": "PBE",
  "state": "relaxed",
  "lattice": [[-1.7032, 1.7032, 9.5468], [1.7032, -1.7032, 9.5468], [1.7032, 1.7032, -9.5468]],
  "species": ["Ca", "Ca", "In", "Ni", "Ni"],
  "frac_coords": [[0.1267, 0.1267, 0.0000], [0.8733, 0.8733, 0.0000], [0.5000, 0.5000, 0.0000], [0.2500, 0.7500, 0.5000], [0.7500, 0.2500, 0.5000]],
  "formation_energy_ev_per_atom": -0.084
}

---

{
  "formula": "CaIn3Ni2",
  "functional": "PBE",
  "state": "relaxed",
  "lattice": [[3.3464, 1.9321, 6.5131], [-3.3464, 1.9321, 6.5131], [0.0000, -3.8641, 6.5131]],
  "species": ["Ca", "Ca", "In", "In", "In", "In", "In", "In", "Ni", "Ni", "Ni", "Ni"],
  "frac_coords": [[0.2296, 0.2296, 0.2296], [0.7704, 0.7704, 0.7704], [0.2500, 0.7362, 0.7362], [0.2638, 0.2638, 0.7500], [0.2638, 0.7500, 0.2638], [0.7362, 0.2500, 0.7362], [0.7362, 0.7362, 0.2500], [0.7500, 0.2638, 0.2638], [0.0000, 0.0000, 0.0000], [0.0000, 0.5000, 0.5000], [0.5000, 0.0000, 0.5000], [0.5000, 0.5000, 0.0000]],
  "formation_energy_ev_per_atom": -0.041
}

---

{
  "formula": "Ca3In7Ni4",
  "functional": "PBE",
  "state": "relaxed",
  "lattice": [[8.2068, -2.2151, 0.0000], [8.2068, 2.2151, 0.0000], [-5.3422, 0.0000, 8.2589]],
  "species": ["Ca", "Ca", "Ca", "In", "In", "In", "In", "In", "In", "In", "Ni", "Ni", "Ni", "Ni"],
  "frac_coords": [[0.0000, 0.0000, 0.0000], [0.3113, 0.3113, 0.3018], [0.6887, 0.6887, 0.6982], [0.0000, 0.0000, 0.5000], [0.1638, 0.1638, 0.4214], [0.3140, 0.3140, 0.9661], [0.4966, 0.4966, 0.7255], [0.5034, 0.5034, 0.2745], [0.6860, 0.6860, 0.0339], [0.8362, 0.8362, 0.5786], [0.1168, 0.1168, 0.8314], [0.3330, 0.3330, 0.7167], [0.6670, 0.6670, 0.2833], [0.8832, 0.8832, 0.1686]],
  "formation_energy_ev_per_atom": -0.280
}

---

{
  "formula": "Ca2In5Ni3",
  "functional": "PBE",
  "state": "relaxed",
  "lattice": [[2.2184, -13.0195, 0.0000], [2.2184, 13.0195, 0.0000], [0.0000, 0.0000, 7.2267]],
  "species": ["Ca", "Ca", "Ca", "Ca", "In", "In", "In", "In", "In", "In", "In", "In", "In", "In", "Ni", "Ni", "Ni", "Ni", "Ni", "Ni"],
  "frac_coords": [[0.0254, 0.9746, 0.5000], [0.3256, 0.6744, 0.4256], [0.6744, 0.3256, 0.9256], [0.9746, 0.0254, 0.0000], [0.0959, 0.9041, 0.1215], [0.2062, 0.7938, 0.6233], [0.2110, 0.7890, 0.2165], [0.3738, 0.6262, 0.9665], [0.4483, 0.5517, 0.3264], [0.5517, 0.4483, 0.8264], [0.6262, 0.3738, 0.4665], [0.7890, 0.2110, 0.7165], [0.7938, 0.2062, 0.1233], [0.9041, 0.0959, 0.6215], [0.1101, 0.8899, 0.7498], [0.2710, 0.7290, 0.9154], [0.4527, 0.5473, 0.7121], [0.5473, 0.4527, 0.2121], [0.7290, 0.2710, 0.4154], [0.8899, 0.1101, 0.2498]],
  "formation_energy_ev_per_atom": -0.271
}